# Tm3Ge3Ir2

An optimized crystal structure of Tm3Ge3Ir2 (PBE, OQMD via LeMat-Bulk).

Structure (POSCAR):
```
Tm3Ge3Ir2
1.0
5.008 2.103 1.364
-5.309 1.452 1.036
0.126 -7.909 11.730
Ge Ir Tm
6 4 6
direct
0.877 0.123 0.035
0.153 0.847 0.250
0.877 0.123 0.465
0.123 0.877 0.535
0.847 0.153 0.750
0.123 0.877 0.965
0.300 0.700 0.103
0.300 0.700 0.397
0.700 0.300 0.603
0.700 0.300 0.897
0.584 0.416 0.110
0.857 0.143 0.250
0.584 0.416 0.390
0.416 0.584 0.610
0.143 0.857 0.750
0.416 0.584 0.890
```

Computed properties:
V	19.67	Å³ per atom
total energy	-104.9	eV/cell
spin magnetization	0.01	μB per formula unit
density	11706	kg/m³

---

# TmGeIr

An optimized crystal structure of TmGeIr (PBE, OQMD via LeMat-Bulk).

Structure (POSCAR):
```
TmGeIr
1.0
4.272 0.066 1.592
1.063 2.634 3.566
0.959 -1.900 4.032
Ge Ir Tm
1 1 1
direct
0.250 0.250 0.250
0.750 0.750 0.750
0.000 0.000 0.000
```

Computed properties:
V	22.34	Å³ per atom
total energy	-17.8	eV/cell
spin magnetization	0.00	μB per formula unit
density	10749	kg/m³

---

# Tm3Ge13Ir4

An optimized crystal structure of Tm3Ge13Ir4 (PBE, OQMD via LeMat-Bulk).

Structure (POSCAR):
```
Tm3Ge13Ir4
1.0
-7.921 4.088 -1.205
-1.725 -5.400 -6.983
-3.897 -5.919 5.539
Ge Ir Tm
26 8 6
direct
0.000 0.000 0.000
0.309 0.144 0.000
0.691 0.144 0.000
0.309 0.856 0.000
0.691 0.856 0.000
0.000 0.309 0.144
0.000 0.691 0.144
0.500 0.356 0.191
0.500 0.644 0.191
0.144 0.000 0.309
0.856 0.000 0.309
0.191 0.500 0.356
0.809 0.500 0.356
0.356 0.191 0.500
0.644 0.191 0.500
0.500 0.500 0.500
0.356 0.809 0.500
0.644 0.809 0.500
0.191 0.500 0.644
0.809 0.500 0.644
0.144 0.000 0.691
0.856 0.000 0.691
0.500 0.356 0.809
0.500 0.644 0.809
0.000 0.309 0.856
0.000 0.691 0.856
0.250 0.250 0.250
0.750 0.250 0.250
0.250 0.750 0.250
0.750 0.750 0.250
0.250 0.250 0.750
0.750 0.250 0.750
0.250 0.750 0.750
0.750 0.750 0.750
0.250 0.500 0.000
0.750 0.500 0.000
0.500 0.000 0.250
0.000 0.250 0.500
0.000 0.750 0.500
0.500 0.000 0.750
```

Computed properties:
V	18.19	Å³ per atom
total energy	-237.5	eV/cell
spin magnetization	0.01	μB per formula unit
density	10133	kg/m³

---

# TmGeIr

An optimized crystal structure of TmGeIr (PBE, OQMD via LeMat-Bulk).

Structure (POSCAR):
```
TmGeIr
1.0
2.238 1.292 3.654
-2.238 1.292 3.654
0.000 -2.584 3.654
Ge Ir Tm
1 1 1
direct
0.750 0.750 0.750
0.000 0.000 0.000
0.250 0.250 0.250
```

Computed properties:
V	21.13	Å³ per atom
total energy	-19.9	eV/cell
spin magnetization	0.01	μB per formula unit
density	11366	kg/m³

---

# Tm6GeIr2

An optimized crystal structure of Tm6GeIr2 (PBE, OQMD via LeMat-Bulk).

Structure (POSCAR):
```
Tm6GeIr2
1.0
-5.735 3.891 2.757
4.939 -3.144 4.622
2.463 3.708 -0.109
Ge Ir Tm
1 2 6
direct
0.000 0.000 0.500
0.667 0.333 0.000
0.333 0.667 0.000
0.737 0.000 0.000
0.263 0.263 0.000
0.000 0.737 0.000
0.414 0.000 0.500
0.000 0.414 0.500
0.586 0.586 0.500
```

Computed properties:
V	23.84	Å³ per atom
total energy	-54.9	eV/cell
spin magnetization	0.02	μB per formula unit
density	11382	kg/m³

---

# TmGeIr

An optimized crystal structure of TmGeIr (PBE, OQMD via LeMat-Bulk).

Structure (POSCAR):
```
TmGeIr
1.0
-3.251 5.803 -1.353
-3.294 -2.213 -1.579
-3.188 -0.177 6.897
Ge Ir Tm
4 4 4
direct
0.288 0.750 0.111
0.788 0.750 0.389
0.212 0.250 0.611
0.712 0.250 0.889
0.662 0.750 0.065
0.162 0.750 0.435
0.838 0.250 0.565
0.338 0.250 0.935
0.993 0.250 0.193
0.493 0.250 0.307
0.507 0.750 0.693
0.007 0.750 0.807
```

Computed properties:
V	18.36	Å³ per atom
total energy	-83.2	eV/cell
spin magnetization	0.00	μB per formula unit
density	13077	kg/m³

---

> Number 1 is which compound?

Tm3Ge3Ir2

---

> What is the formula in the third record?

Tm3Ge13Ir4